The following is a DFT calculation (PBE-GGA) of a geometry-optimized Ti2PPd2 structure.

volume = 160.07 Å³/cell
crystal system = tetragonal
offset from the most stable computed form = 37 meV per atom
ΔH_f (0 K) = -0.38 eV per atom
calculated total energy = -6.698 eV per atom

Geometry as CIF:
```
data_Ti2PPd2
_symmetry_space_group_name_H-M 'P 4/m b m'
_symmetry_Int_Tables_number 127
_symmetry_space_group_name_Hall '-P 4 2ab'
_cell_length_a 6.421
_cell_length_b 6.421
_cell_length_c 3.882
_cell_angle_alpha 90.00
_cell_angle_beta 90.00
_cell_angle_gamma 90.00
loop_
_atom_site_label
_atom_site_type_symbol
_atom_site_fract_x
_atom_site_fract_y
_atom_site_fract_z
Ti1 Ti 0.165 0.335 0.000
P1 P 0.000 0.000 0.500
Pd1 Pd 0.145 0.645 0.500
```